*1*
# CaThSe3 | Alexandria via LeMat-Bulk | PBE | optimized geometry
data_CaThSe3
_cell_length_a 7.976
_cell_length_b 4.246
_cell_length_c 16.353
_cell_angle_alpha 90.00
_cell_angle_beta 90.00
_cell_angle_gamma 90.00
_symmetry_space_group_name_H-M 'P 1'
_symmetry_Int_Tables_number 1
loop_
_symmetry_equiv_pos_as_xyz
'x,y,z'
loop_
_atom_site_label
_atom_site_type_symbol
_atom_site_fract_x
_atom_site_fract_y
_atom_site_fract_z
Ca1 Ca 0.096 0.250 0.222
Ca2 Ca 0.404 0.750 0.722
Ca3 Ca 0.596 0.250 0.278
Ca4 Ca 0.904 0.750 0.778
Th1 Th 0.246 0.750 0.459
Th2 Th 0.254 0.250 0.959
Th3 Th 0.746 0.750 0.041
Th4 Th 0.754 0.250 0.541
Se1 Se 0.015 0.250 0.405
Se2 Se 0.125 0.750 0.067
Se3 Se 0.178 0.250 0.783
Se4 Se 0.322 0.750 0.283
Se5 Se 0.375 0.250 0.567
Se6 Se 0.485 0.750 0.905
Se7 Se 0.515 0.250 0.095
Se8 Se 0.625 0.750 0.433
Se9 Se 0.678 0.250 0.717
Se10 Se 0.822 0.750 0.217
Se11 Se 0.875 0.250 0.933
Se12 Se 0.985 0.750 0.595
# space group = Pnma (62)
# crystal system = orthorhombic

***

*2*
# CaThSe3 | Alexandria via LeMat-Bulk | PBE | optimized geometry
data_CaThSe3
_cell_length_a 10.626
_cell_length_b 10.626
_cell_length_c 7.425
_cell_angle_alpha 90.00
_cell_angle_beta 90.00
_cell_angle_gamma 156.41
_symmetry_space_group_name_H-M 'P 1'
_symmetry_Int_Tables_number 1
loop_
_symmetry_equiv_pos_as_xyz
'x,y,z'
loop_
_atom_site_label
_atom_site_type_symbol
_atom_site_fract_x
_atom_site_fract_y
_atom_site_fract_z
Ca1 Ca 0.152 0.848 0.500
Ca2 Ca 0.848 0.152 0.000
Th1 Th 0.343 0.657 0.486
Th2 Th 0.657 0.343 0.986
Se1 Se 0.092 0.908 0.149
Se2 Se 0.249 0.751 0.829
Se3 Se 0.411 0.589 0.171
Se4 Se 0.589 0.411 0.671
Se5 Se 0.751 0.249 0.329
Se6 Se 0.908 0.092 0.649
# space group = Cmc2_1 (36)
# crystal system = orthorhombic

***

The most stable arrangement is *1*, and the next structure is 0.130 eV/atom less stable.

***

*1*
# CaTiSe2 | Alexandria via LeMat-Bulk | PBE | optimized geometry
data_CaTiSe2
_cell_length_a 9.001
_cell_length_b 9.001
_cell_length_c 9.001
_cell_angle_alpha 24.00
_cell_angle_beta 24.00
_cell_angle_gamma 24.00
_symmetry_space_group_name_H-M 'P 1'
_symmetry_Int_Tables_number 1
loop_
_symmetry_equiv_pos_as_xyz
'x,y,z'
loop_
_atom_site_label
_atom_site_type_symbol
_atom_site_fract_x
_atom_site_fract_y
_atom_site_fract_z
Ca1 Ca 0.000 0.000 0.000
Ti1 Ti 0.500 0.500 0.500
Se1 Se 0.110 0.110 0.110
Se2 Se 0.890 0.890 0.890
# space group = R-3m (166)
# crystal system = trigonal

***

*2*
# CaTiSe2 | Alexandria via LeMat-Bulk | PBE | optimized geometry
data_CaTiSe2
_cell_length_a 7.633
_cell_length_b 7.633
_cell_length_c 7.633
_cell_angle_alpha 132.14
_cell_angle_beta 132.14
_cell_angle_gamma 70.00
_symmetry_space_group_name_H-M 'P 1'
_symmetry_Int_Tables_number 1
loop_
_symmetry_equiv_pos_as_xyz
'x,y,z'
loop_
_atom_site_label
_atom_site_type_symbol
_atom_site_fract_x
_atom_site_fract_y
_atom_site_fract_z
Ca1 Ca 0.000 0.000 0.000
Ca2 Ca 0.750 0.250 0.500
Ti1 Ti 0.250 0.750 0.500
Ti2 Ti 0.500 0.500 0.000
Se1 Se 0.168 0.625 0.043
Se2 Se 0.375 0.418 0.543
Se3 Se 0.582 0.125 0.957
Se4 Se 0.875 0.832 0.457
# space group = I-42d (122)
# crystal system = tetragonal

***

*3*
# CaTiSe2 | Alexandria via LeMat-Bulk | PBE | optimized geometry
data_CaTiSe2
_cell_length_a 4.888
_cell_length_b 4.888
_cell_length_c 4.888
_cell_angle_alpha 60.00
_cell_angle_beta 60.00
_cell_angle_gamma 60.00
_symmetry_space_group_name_H-M 'P 1'
_symmetry_Int_Tables_number 1
loop_
_symmetry_equiv_pos_as_xyz
'x,y,z'
loop_
_atom_site_label
_atom_site_type_symbol
_atom_site_fract_x
_atom_site_fract_y
_atom_site_fract_z
Ca1 Ca 0.000 0.000 0.000
Ti1 Ti 0.500 0.500 0.500
Se1 Se 0.250 0.250 0.250
Se2 Se 0.750 0.750 0.750
# space group = Fm-3m (225)
# crystal system = cubic

***

The most stable arrangement is *2*, and the next structure is 0.034 eV/atom less stable.

***

*1*
# Ca2Ti2Se | Alexandria via LeMat-Bulk | PBE | optimized geometry
data_Ca2Ti2Se
_cell_length_a 6.765
_cell_length_b 6.765
_cell_length_c 5.453
_cell_angle_alpha 90.00
_cell_angle_beta 90.00
_cell_angle_gamma 90.00
_symmetry_space_group_name_H-M 'P 1'
_symmetry_Int_Tables_number 1
loop_
_symmetry_equiv_pos_as_xyz
'x,y,z'
loop_
_atom_site_label
_atom_site_type_symbol
_atom_site_fract_x
_atom_site_fract_y
_atom_site_fract_z
Ca1 Ca 0.166 0.334 0.000
Ca2 Ca 0.334 0.834 0.000
Ca3 Ca 0.666 0.166 0.000
Ca4 Ca 0.834 0.666 0.000
Ti1 Ti 0.148 0.648 0.500
Ti2 Ti 0.352 0.148 0.500
Ti3 Ti 0.648 0.852 0.500
Ti4 Ti 0.852 0.352 0.500
Se1 Se 0.000 0.000 0.500
Se2 Se 0.500 0.500 0.500
# space group = P4/mbm (127)
# crystal system = tetragonal

***

*2*
# Ca2Ti2Se | Alexandria via LeMat-Bulk | PBE | optimized geometry
data_Ca2Ti2Se
_cell_length_a 7.678
_cell_length_b 7.678
_cell_length_c 7.678
_cell_angle_alpha 147.20
_cell_angle_beta 147.20
_cell_angle_gamma 47.06
_symmetry_space_group_name_H-M 'P 1'
_symmetry_Int_Tables_number 1
loop_
_symmetry_equiv_pos_as_xyz
'x,y,z'
loop_
_atom_site_label
_atom_site_type_symbol
_atom_site_fract_x
_atom_site_fract_y
_atom_site_fract_z
Ca1 Ca 0.250 0.750 0.500
Ca2 Ca 0.750 0.250 0.500
Ti1 Ti 0.070 0.070 0.000
Ti2 Ti 0.930 0.930 0.000
Se1 Se 0.500 0.500 0.000
# space group = I4/mmm (139)
# crystal system = tetragonal

***

The most stable arrangement is *1*, and the next structure is 0.684 eV/atom less stable.

***

*1*
# CaTi4Se8 | Alexandria via LeMat-Bulk | PBE | optimized geometry
data_CaTi4Se8
_cell_length_a 7.706
_cell_length_b 7.706
_cell_length_c 7.706
_cell_angle_alpha 60.00
_cell_angle_beta 60.00
_cell_angle_gamma 60.00
_symmetry_space_group_name_H-M 'P 1'
_symmetry_Int_Tables_number 1
loop_
_symmetry_equiv_pos_as_xyz
'x,y,z'
loop_
_atom_site_label
_atom_site_type_symbol
_atom_site_fract_x
_atom_site_fract_y
_atom_site_fract_z
Ca1 Ca 0.000 0.000 0.000
Ti1 Ti 0.155 0.615 0.615
Ti2 Ti 0.615 0.155 0.615
Ti3 Ti 0.615 0.615 0.155
Ti4 Ti 0.615 0.615 0.615
Se1 Se 0.380 0.380 0.380
Se2 Se 0.380 0.380 0.861
Se3 Se 0.380 0.861 0.380
Se4 Se 0.429 0.857 0.857
Se5 Se 0.857 0.429 0.857
Se6 Se 0.857 0.857 0.429
Se7 Se 0.857 0.857 0.857
Se8 Se 0.861 0.380 0.380
# space group = F-43m (216)
# crystal system = cubic

***

*2*
# CaTi4Se8 | Alexandria via LeMat-Bulk | PBE | optimized geometry
data_CaTi4Se8
_cell_length_a 8.229
_cell_length_b 8.229
_cell_length_c 8.229
_cell_angle_alpha 51.73
_cell_angle_beta 51.73
_cell_angle_gamma 51.73
_symmetry_space_group_name_H-M 'P 1'
_symmetry_Int_Tables_number 1
loop_
_symmetry_equiv_pos_as_xyz
'x,y,z'
loop_
_atom_site_label
_atom_site_type_symbol
_atom_site_fract_x
_atom_site_fract_y
_atom_site_fract_z
Ca1 Ca 0.000 0.000 0.000
Ti1 Ti 0.000 0.000 0.500
Ti2 Ti 0.000 0.500 0.000
Ti3 Ti 0.500 0.000 0.000
Ti4 Ti 0.500 0.500 0.500
Se1 Se 0.238 0.238 0.238
Se2 Se 0.245 0.737 0.737
Se3 Se 0.263 0.263 0.755
Se4 Se 0.263 0.755 0.263
Se5 Se 0.737 0.245 0.737
Se6 Se 0.737 0.737 0.245
Se7 Se 0.755 0.263 0.263
Se8 Se 0.762 0.762 0.762
# space group = R-3m (166)
# crystal system = trigonal

***

The most stable arrangement is *2*, and the next structure is 0.122 eV/atom less stable.